The following is a PBE calculation of crystalline UAl2O6 at its relaxed geometry, from the Alexandria database.

Output
- magnetization (μB per formula unit) = 0.00
- formation energy (no corrections) (eV per atom) = -2.9964
- calculated total energy (eV/atom) = -8.39

a = 3.6356 Å, b = 5.1247 Å, c = 6.2021 Å
α = 68.94°, β = 72.96°, γ = 69.22°
Atoms (fractional coordinates):
U: 0.0000 0.5000 0.5000
Al: 0.1785 0.7379 0.9050
Al: 0.8215 0.2621 0.0950
O: 0.7212 0.6632 0.8943
O: 0.2788 0.3368 0.1057
O: 0.9754 0.8451 0.2041
O: 0.3552 0.6997 0.5900
O: 0.0246 0.1549 0.7959
O: 0.6448 0.3003 0.4100